1.
{"formula": "Li5I2Br2", "functional": "PBE-GGA", "state": "optimized geometry", "raw_formation_energy_ev_per_fu": -9.02, "crystal_system": "orthorhombic", "lattice": [[7.941, 0.000, 0.000], [0.000, 7.258, -3.845], [0.000, -0.372, 8.205]], "species": ["Li", "Li", "Li", "Li", "Li", "Li", "Li", "Li", "Li", "Li", "I", "I", "I", "I", "Br", "Br", "Br", "Br"], "fractional_positions": [[0.000, 0.000, 0.000], [0.500, 0.500, 0.500], [0.169, 0.154, 0.449], [0.831, 0.551, 0.846], [0.669, 0.051, 0.346], [0.331, 0.654, 0.949], [0.831, 0.846, 0.551], [0.169, 0.449, 0.154], [0.331, 0.949, 0.654], [0.669, 0.346, 0.051], [0.000, 0.787, 0.213], [0.500, 0.287, 0.713], [0.000, 0.213, 0.787], [0.500, 0.713, 0.287], [0.325, 0.208, 0.208], [0.675, 0.792, 0.792], [0.825, 0.292, 0.292], [0.175, 0.708, 0.708]]}

2.
{"formula": "Ta3CdAu", "functional": "PBE-GGA", "state": "optimized geometry", "polymorph_energy_mev_per_atom": 564, "crystal_system": "cubic", "delta_e_f_mev_per_atom": 2191, "lattice": [[4.933, 0.000, 0.000], [0.000, 4.933, 0.000], [0.000, 0.000, 4.933]], "species": ["Cd", "Au", "Ta", "Ta", "Ta"], "fractional_positions": [[0.000, 0.000, 0.000], [0.500, 0.500, 0.500], [0.000, 0.500, 0.000], [0.000, 0.000, 0.500], [0.500, 0.000, 0.000]]}

3.
{"formula": "CaPbSe2", "functional": "PBE-GGA", "state": "optimized geometry", "raw_formation_energy_ev_per_fu": -4.74, "crystal_system": "orthorhombic", "lattice": [[-5.155, -2.598, 2.908], [-4.528, -4.557, -0.709], [2.628, -2.928, 2.042]], "species": ["Pb", "Ca", "Se", "Se"], "fractional_positions": [[0.240, 0.240, 0.125], [0.506, 0.506, 0.625], [0.008, 0.008, 0.125], [0.746, 0.746, 0.625]]}

4.
{"formula": "NaAgTeN2", "functional": "PBE-GGA", "state": "optimized geometry", "raw_formation_energy_ev_per_fu": 9.15, "polymorph_energy_mev_per_atom": 403, "crystal_system": "tetragonal", "lattice": [[-0.602, 4.156, -1.295], [-4.049, -0.055, 1.707], [2.253, 2.013, 5.409]], "species": ["Na", "Te", "Ag", "N", "N"], "fractional_positions": [[0.000, 0.000, 0.000], [0.000, 0.000, 0.500], [0.500, 0.500, 0.500], [0.000, 0.500, 0.000], [0.500, 0.000, 0.000]]}

5.
{"formula": "SiHg4", "functional": "PBE-GGA", "state": "optimized geometry", "raw_formation_energy_ev_per_fu": 1.20, "polymorph_energy_mev_per_atom": 50, "crystal_system": "cubic", "lattice": [[-3.236, 3.236, 3.236], [3.236, -3.236, 3.236], [3.236, 3.236, -3.236]], "species": ["Si", "Hg", "Hg", "Hg", "Hg"], "fractional_positions": [[0.000, 0.000, 0.000], [0.500, 0.000, 0.000], [0.500, 0.500, 0.500], [0.000, 0.500, 0.000], [0.000, 0.000, 0.500]]}

6.
{"formula": "CaGaTe2N", "functional": "PBE-GGA", "state": "optimized geometry", "raw_formation_energy_ev_per_fu": -0.23, "polymorph_energy_mev_per_atom": 0, "crystal_system": "tetragonal", "lattice": [[-4.655, 2.777, -2.215], [-3.536, -3.267, 3.334], [0.212, 2.453, 2.629]], "species": ["Ca", "Te", "Te", "Ga", "N"], "fractional_positions": [[0.500, 0.500, 0.500], [0.000, 0.500, 0.000], [0.500, 0.000, 0.000], [0.000, 0.000, 0.000], [0.000, 0.000, 0.500]]}